This record from the Alexandria database describes a relaxed structure of ScCdP2. The functional is PBE.

extended XYZ file:
```
4
Lattice="5.972 0.105 -0.055 4.756 3.614 -0.055 0.759 0.263 3.727" Properties=species:S:1:pos:R:3 pbc="T T T"
Cd 2.545 0.882 0.641
P 0.118 0.041 0.405
P 9.047 3.136 2.121
Sc 5.520 1.914 2.260
```

## Properties
* energy relative to the elements: -0.470 eV per atom
* calculated density: 4.63 g/cm3